1.
DFT (GGA-PBE) results for crystalline SrVC3 at its relaxed geometry.

```
SrVC3
1.0
4.0282 0.0000 0.0000
0.0000 4.0282 0.0000
0.0000 0.0000 4.0282
Sr V C
1 1 3
Cartesian
0.0000 0.0000 0.0000 Sr
2.0141 2.0141 2.0141 V
0.0000 2.0141 2.0141 C
2.0141 0.0000 2.0141 C
2.0141 2.0141 0.0000 C
```

Output
- final energy (eV per atom) = -6.780
- space-group type = Pm-3m, No. 221
- DOS(E_F) (states/eV/cell) = 2.77
- excess energy over the best structure of this formula in the dataset (meV/atom) = 0
- total magnetic moment (μB per cell) = 0.0
- energy of formation (meV/atom) = 914

=====

2.
DFT (GGA-PBE) results for crystalline AcSn2Pt4 at its relaxed geometry.

```
AcSn2Pt4
1.0
4.6441 0.0000 0.0000
0.0000 7.4424 0.0000
-0.4694 0.0000 17.7370
Ac Sn Pt
4 8 16
Cartesian
0.9797 0.0058 6.2874 Ac
0.7450 3.7154 15.1559 Ac
3.4297 3.7270 2.5811 Ac
3.1950 7.4366 11.4496 Ac
0.8472 0.1519 14.2538 Sn
1.0819 3.5692 5.3853 Sn
1.2205 1.7485 0.5329 Sn
0.9858 1.9727 9.4014 Sn
3.1889 5.4697 8.3356 Sn
2.9542 5.6938 17.2041 Sn
3.0928 3.8731 12.3517 Sn
3.3275 7.2904 3.4832 Sn
0.0271 4.2988 10.2313 Pt
0.2618 6.8648 1.3628 Pt
1.0439 1.4722 3.3309 Pt
0.8092 2.2490 12.1994 Pt
1.2098 4.5359 0.4025 Pt
0.9751 6.6276 9.2710 Pt
0.9002 5.4413 12.5584 Pt
1.1349 5.7223 3.6899 Pt
3.0398 1.7201 14.0471 Pt
3.2745 2.0011 5.1786 Pt
3.1996 0.8148 8.4660 Pt
2.9649 2.9064 17.3345 Pt
3.3656 5.1934 5.5376 Pt
3.1309 5.9701 14.4061 Pt
3.9129 0.5776 16.3742 Pt
4.1476 3.1436 7.5057 Pt
```

Output
- final energy (eV per atom) = -5.931
- space-group type = P2_1/c, No. 14
- DOS(E_F) (states/eV/cell) = 12.58
- total magnetic moment (μB per cell) = 0.0
- energy of formation (meV/atom) = -748

=====

3.
DFT (GGA-PBE) results for crystalline Y2SiAg at its relaxed geometry.

```
Y2SiAg
1.0
3.5500 -3.5621 0.0000
3.5500 3.5621 0.0000
0.0000 0.0000 3.6256
Y Si Ag
2 1 1
Cartesian
1.7750 1.7811 0.0000 Y
1.7750 -1.7811 0.0000 Y
0.0000 0.0000 1.8128 Si
3.5500 0.0000 1.8128 Ag
```

Output
- final energy (eV per atom) = -5.755
- space-group type = Cmmm, No. 65
- DOS(E_F) (states/eV/cell) = 3.59
- total magnetic moment (μB per cell) = 0.0

=====

4.
DFT (GGA-PBE) results for crystalline K2ZnSi at its relaxed geometry.

```
K2ZnSi
1.0
3.5970 0.0000 0.0000
0.0000 5.3125 0.0000
-0.1134 0.0000 6.1357
K Zn Si
2 1 1
Cartesian
-0.0245 0.0000 1.4851 K
3.5082 0.0000 4.6506 K
1.7418 2.6562 3.0678 Zn
1.7985 2.6562 0.0000 Si
```

Output
- final energy (eV per atom) = -1.775
- space-group type = P2/m, No. 10
- DOS(E_F) (states/eV/cell) = 1.78
- total magnetic moment (μB per cell) = 0.0